Compound: FeMo3Pb
Source: the Alexandria database
Functional: GGA-PBEsol
Structure: optimized geometry

abc: 4.906 4.906 4.906
angles: 90.00 90.00 90.00
Atoms (fractional coordinates):
Mo (0.500, 0.000, 0.000)
Fe (0.500, 0.500, 0.500)
Pb (0.000, 0.000, 0.000)
Mo (0.000, 0.000, 0.500)
Mo (0.000, 0.500, 0.000)

Summary:
The energy of formation from the pure elements is 3052 meV/atom. The space group is Pm-3m (221). For the electronic total energy, the calculation gives -33.00 eV/cell. For the mass density, the calculation gives 7.75 g/cm³.